[1]
VASP calculation (PBE-GGA) on a relaxed structure of NaPIrS2.

Values from the calculation:
Its crystal system is tetragonal. The value obtained for the energy above the most stable polymorph in this dataset is 0.000 eV per atom.

abc: 4.9859 4.9859 4.3956
angles: 90.00 90.00 90.00
Element x y z (fractional)
1 P 0.0000 0.0000 0.5000
2 Na 0.5000 0.5000 0.5000
3 S 0.5000 0.0000 0.0000
4 S 0.0000 0.5000 0.0000
5 Ir 0.0000 0.0000 0.0000



[2]
VASP calculation (PBE-GGA) on a relaxed structure of TbHo2PuN4.

Values from the calculation:
Its crystal system is monoclinic. For the total energy, the calculation gives -9.266 eV/atom.

abc: 3.4740 5.9918 5.9913
angles: 109.39 90.00 90.00
Element x y z (fractional)
1 N 0.5000 0.2442 0.2467
2 Ho 0.0000 0.5000 0.5000
3 Tb 0.5000 0.5000 0.0000
4 N 0.0000 0.7553 0.2492
5 N 0.5000 0.7558 0.7533
6 Ho 0.5000 0.0000 0.5000
7 N 0.0000 0.2447 0.7508
8 Pu 0.0000 0.0000 0.0000



[3]
VASP calculation (PBE-GGA) on a relaxed structure of HfCI2O.

Values from the calculation:
Its crystal system is tetragonal. The value obtained for the energy above the most stable polymorph in this dataset is 0.000 eV per atom.

abc: 5.7837 5.7837 3.9574
angles: 90.00 90.00 90.00
Element x y z (fractional)
1 I 0.0000 0.5000 0.0000
2 I 0.5000 0.0000 0.0000
3 Hf 0.0000 0.0000 0.0000
4 C 0.5000 0.5000 0.5000
5 O 0.0000 0.0000 0.5000



[4]
VASP calculation (PBE-GGA) on a relaxed structure of RbLiHgMo2.

Values from the calculation:
Its crystal system is tetragonal. The value obtained for the formation energy from the elements is 1.533 eV per atom.

abc: 5.4802 5.2595 5.4802
angles: 90.00 90.00 90.00
Element x y z (fractional)
1 Li 0.0000 0.5000 0.0000
2 Hg 0.0000 0.0000 0.0000
3 Mo 0.0000 0.0000 0.5000
4 Mo 0.5000 0.0000 0.0000
5 Rb 0.5000 0.5000 0.5000



[5]
VASP calculation (PBE-GGA) on a relaxed structure of LaScCd.

Values from the calculation:
Its crystal system is triclinic. The value obtained for the energy above the most stable polymorph in this dataset is 0.105 eV per atom. The value obtained for the formation energy from the elements is -0.068 eV per atom.

abc: 5.4934 5.5333 6.5647
angles: 79.79 89.72 119.72
Element x y z (fractional)
1 Sc 0.9852 0.0015 0.9406
2 Cd 0.2294 0.4970 0.5911
3 Sc 0.2988 0.6306 0.0956
4 La 0.6206 0.2744 0.1443
5 La 0.9020 0.8405 0.4458
6 Cd 0.5353 0.1042 0.6834



[6]
VASP calculation (PBE-GGA) on a relaxed structure of ZnCd4Fe.

Values from the calculation:
Its crystal system is cubic. The value obtained for the formation energy from the elements is 0.503 eV per atom.

abc: 5.6190 5.6190 5.6190
angles: 60.00 60.00 60.00
Element x y z (fractional)
1 Cd 0.8742 0.3753 0.3753
2 Cd 0.3753 0.3753 0.8742
3 Zn 0.0000 0.0000 0.0000
4 Cd 0.3753 0.8742 0.3753
5 Cd 0.3753 0.3753 0.3753
6 Fe 0.7500 0.7500 0.7500



Ρ values, unit g/cm³, following the record order: 4.72, 11.13, 5.77, 5.10, 5.80, 7.56.
DOS(E_F) values, unit states/eV/atom, following the record order: 1.1464, 0.8730, 0.8135, 0.3846, 1.1803, 0.7617.